Record 1
Compound: Rb2Hg2GeAu4
Source: the Alexandria database
Functional: PBE
Structure: optimized geometry

```
9
Lattice="-4.522 4.445 2.889 -1.865 -3.066 -5.972 1.184 -6.007 3.326" Properties=species:S:1:pos:R:3 pbc="T T T"
Ge 0.000 0.000 0.000
Au -2.478 -0.047 0.798
Hg -0.458 -6.103 -1.780
Rb -1.839 -3.049 2.446
Hg -0.223 -2.970 -0.866
Rb -3.364 -1.579 -2.203
Au -2.724 -4.581 -0.555
Au 0.407 -5.257 0.956
Au -1.088 -3.816 -3.602
```

Computed properties:
- crystal system = tetragonal
- calculated total energy (eV/atom) = -2.361

---

Record 2
Compound: Ba7Sr2
Source: the Alexandria database
Functional: PBE
Structure: optimized geometry

```
9
Lattice="-2.526 -7.192 -0.944 3.922 3.462 -5.624 9.326 -3.821 4.152" Properties=species:S:1:pos:R:3 pbc="T T T"
Ba 1.398 -6.045 0.743
Ba 0.000 0.000 0.000
Ba 3.546 -2.510 -0.828
Ba 5.401 -4.968 2.465
Sr 1.773 -0.089 -4.064
Ba 7.560 -1.400 0.898
Ba 5.688 1.041 -2.370
Ba 7.176 -5.041 -1.587
Sr -0.377 -3.641 -2.504
```

Computed properties:
- energy relative to the lowest polymorph listed for this composition (eV/atom) = 0.000
- crystal system = trigonal
- calculated total energy (eV/atom) = -1.854

---

Record 3
Compound: Ti2Ge2Br
Source: the Alexandria database
Functional: PBE
Structure: optimized geometry

```
10
Lattice="7.284 0.000 0.000 0.000 7.284 0.000 0.000 0.000 3.407" Properties=species:S:1:pos:R:3 pbc="T T T"
Ge 4.540 6.385 1.703
Ti 1.236 2.406 0.000
Ge 6.385 2.744 1.703
Ti 4.878 1.236 0.000
Br 0.000 0.000 0.000
Br 3.642 3.642 0.000
Ge 0.898 4.540 1.703
Ti 2.406 6.048 0.000
Ge 2.744 0.898 1.703
Ti 6.048 4.878 0.000
```

Computed properties:
- raw formation energy (eV per atom) = -0.367
- crystal system = tetragonal
- calculated total energy (eV/atom) = -5.707

---

Record 4
Compound: Cr2SbOs
Source: the Alexandria database
Functional: PBE
Structure: optimized geometry

```
4
Lattice="8.506 -0.012 -0.007 8.020 2.833 -0.007 8.020 1.369 2.481" Properties=species:S:1:pos:R:3 pbc="T T T"
Sb 18.410 3.143 1.850
Cr 12.382 2.114 1.244
Os 6.137 1.048 0.617
Cr 24.438 4.172 2.455
```

Computed properties:
- raw formation energy (eV per atom) = 0.557
- crystal system = trigonal
- calculated total energy (eV/atom) = -8.093

---

Record 5
Compound: PmTmTlAu
Source: the Alexandria database
Functional: PBE
Structure: optimized geometry

```
4
Lattice="5.278 0.000 0.000 2.639 4.571 0.000 2.639 1.524 4.309" Properties=species:S:1:pos:R:3 pbc="T T T"
Au 0.000 0.000 0.000
Pm 2.639 1.524 1.077
Tm 7.917 4.571 3.232
Tl 5.278 3.047 2.155
```

Computed properties:
- energy relative to the lowest polymorph listed for this composition (eV/atom) = 0.065
- crystal system = cubic
- calculated total energy (eV/atom) = -4.259

---

Record 6
Compound: CeAlRu
Source: the Alexandria database
Functional: PBE
Structure: optimized geometry

```
12
Lattice="-2.585 3.194 -0.076 -4.832 -3.839 3.037 2.738 2.391 7.379" Properties=species:S:1:pos:R:3 pbc="T T T"
Ru -0.737 3.538 7.116
Al -1.128 0.428 0.791
Ru -0.862 0.707 3.495
Ce 1.055 2.297 5.121
Al -2.199 2.309 5.164
Ru -3.942 -1.792 3.224
Ce -5.735 -0.552 5.219
Ru -3.817 1.039 6.845
Al -2.481 -0.563 5.176
Al -3.552 1.318 9.549
Ce -3.689 1.044 2.702
Ce -0.991 0.701 7.638
```

Computed properties:
- crystal system = orthorhombic
- calculated total energy (eV/atom) = -6.916

---

Record 7
Compound: Tl3Hg8Pb2
Source: the Alexandria database
Functional: PBE
Structure: optimized geometry

```
13
Lattice="6.208 0.000 0.000 3.104 5.376 0.000 3.104 1.792 11.863" Properties=species:S:1:pos:R:3 pbc="T T T"
Hg 7.753 2.692 8.310
Hg 4.662 2.692 8.310
Pb 6.208 3.584 11.228
Hg 7.753 4.476 3.553
Tl 9.311 5.376 6.325
Hg 3.104 1.792 2.345
Hg 9.311 5.376 9.518
Pb 6.208 3.584 0.636
Hg 6.208 1.799 3.553
Hg 4.662 4.476 3.553
Hg 6.208 5.369 8.310
Tl 3.104 1.792 5.539
Tl 0.000 0.000 0.000
```

Computed properties:
- energy relative to the lowest polymorph listed for this composition (eV/atom) = 0.050
- crystal system = trigonal
- calculated total energy (eV/atom) = -1.235

---

Record 8
Compound: PmInBi2
Source: the Alexandria database
Functional: PBE
Structure: optimized geometry

```
8
Lattice="-2.734 -1.735 -4.940 -3.206 -4.046 3.196 -4.743 4.565 1.022" Properties=species:S:1:pos:R:3 pbc="T T T"
In -7.726 -0.550 -0.828
Bi -3.376 -3.777 1.430
In -2.957 -0.666 0.105
Bi -5.698 -1.543 1.930
Bi -4.985 0.327 -2.653
Bi -7.306 2.561 -2.153
Pm -5.335 -2.807 -1.358
Pm -5.348 1.591 0.635
```

Computed properties:
- energy relative to the lowest polymorph listed for this composition (eV/atom) = 0.042
- crystal system = orthorhombic
- calculated total energy (eV/atom) = -4.214

---

Record 9
Compound: CsAlPb2Br8
Source: the Alexandria database
Functional: PBE
Structure: optimized geometry

```
12
Lattice="6.926 0.049 -0.015 0.105 6.747 -0.008 -0.007 0.009 9.492" Properties=species:S:1:pos:R:3 pbc="T T T"
Br 1.085 5.274 7.712
Br 4.043 5.042 4.743
Pb 3.512 3.404 7.243
Br 4.857 5.278 9.465
Pb 3.511 3.401 2.226
Br 5.939 1.545 7.699
Br 2.981 1.763 4.725
Cs -0.004 0.004 4.746
Al 0.000 0.000 0.000
Br 1.084 5.260 1.769
Br 2.167 1.526 0.004
Br 5.938 1.531 1.756
```

Computed properties:
- raw formation energy (eV per atom) = -1.031
- crystal system = triclinic
- calculated total energy (eV/atom) = -3.147

---

Record 10
Compound: ZnCo3Ge2
Source: the Alexandria database
Functional: PBE
Structure: optimized geometry

```
24
Lattice="4.498 0.000 0.389 2.249 6.277 0.194 0.058 0.000 10.969" Properties=species:S:1:pos:R:3 pbc="T T T"
Zn 2.597 0.301 1.537
Co 5.434 2.562 4.852
Ge 3.308 2.524 3.791
Zn 4.208 5.976 10.015
Ge 6.180 4.878 4.910
Ge 0.625 1.399 6.641
Co 2.293 5.929 8.421
Co 1.371 3.715 6.699
Ge 5.586 3.753 9.470
Co 3.048 1.942 6.023
Ge 1.219 2.524 2.081
Co 3.758 4.335 5.529
Co 5.268 4.335 0.733
Co 1.538 1.942 10.819
Ge 3.497 3.753 7.760
Co 2.293 1.747 8.421
Co 4.513 4.530 3.131
Zn 4.875 5.976 7.215
Co 3.591 2.562 1.409
Ge 2.845 4.878 1.351
Co 4.513 0.348 3.131
Zn 1.930 0.301 4.336
Ge 3.960 1.399 10.200
Co 3.214 3.715 10.142
```

Computed properties:
- crystal system = monoclinic
- calculated total energy (eV/atom) = -5.355

---

Record 11
Compound: CeSm2HoSb5
Source: the Alexandria database
Functional: PBE
Structure: optimized geometry

```
9
Lattice="5.263 0.000 0.000 0.000 5.263 0.000 0.000 0.000 11.738" Properties=species:S:1:pos:R:3 pbc="T T T"
Ho 0.000 0.000 5.869
Sm 2.631 2.631 3.261
Sb 0.000 0.000 8.822
Sb 0.000 0.000 2.916
Ce 0.000 0.000 0.000
Sb 2.631 0.000 5.869
Sb 0.000 2.631 5.869
Sb 2.631 2.631 0.000
Sm 2.631 2.631 8.477
```

Computed properties:
- raw formation energy (eV per atom) = -0.267
- crystal system = tetragonal
- calculated total energy (eV/atom) = -4.774

---

Record 12
Compound: La2TaCo
Source: the Alexandria database
Functional: PBE
Structure: optimized geometry

```
4
Lattice="-1.716 4.903 -2.795 -3.895 3.555 2.643 5.061 -2.710 1.356" Properties=species:S:1:pos:R:3 pbc="T T T"
La -0.820 2.537 1.962
Ta -2.806 4.229 -0.076
La 0.000 0.000 0.000
Co 0.270 3.211 -0.757
```

Computed properties:
- energy relative to the lowest polymorph listed for this composition (eV/atom) = 0.497
- crystal system = tetragonal
- calculated total energy (eV/atom) = -6.601